No. 1
Entry from the Alexandria database: a relaxed Al2TlPdI crystal (PBE-GGA).

It has space group P4/mmm (No. 123), with a = 4.837 Å, b = 4.837 Å, c = 6.141 Å, α = 90.00°, β = 90.00° and γ = 90.00°. The asymmetric unit holds Al at (0.000, 0.500, 0.000), Tl at (0.000, 0.000, 0.500), Pd at (0.500, 0.500, 0.000) and I at (0.500, 0.500, 0.500).

As for the crystal system: tetragonal.


No. 2
Entry from the Alexandria database: a relaxed Pm2AlI crystal (PBE-GGA).

It has space group R-3m (No. 166, hexagonal axes), with a = 4.3216 Å, b = 4.3216 Å, c = 23.1585 Å, α = 90.00°, β = 90.00° and γ = 120.00°. The asymmetric unit holds Pm at (0.0000, 0.0000, 0.2399), Al at (0.0000, 0.0000, 0.5000) and I at (0.0000, 0.0000, 0.0000).

The value obtained for the relative energy among the computed polymorphs is 0.015 eV per atom. As for the crystal system: trigonal.


No. 3
Entry from the Alexandria database: a relaxed PmAlI crystal (PBE-GGA).

It has space group P2_1/m (No. 11), with a = 6.139 Å, b = 4.425 Å, c = 7.660 Å, α = 90.00°, β = 101.99° and γ = 90.00°. The asymmetric unit holds Pm at (0.077, 0.250, 0.299), Al at (0.394, 0.750, 0.509) and I at (0.241, 0.250, 0.926).

The value obtained for the relative energy among the computed polymorphs is 0.412 eV per atom. As for the crystal system: monoclinic.


No. 4
Entry from the Alexandria database: a relaxed Pm2AlI crystal (PBE-GGA).

It has space group P4/mmm (No. 123), with a = 3.643 Å, b = 3.643 Å, c = 8.570 Å, α = 90.00°, β = 90.00° and γ = 90.00°. The asymmetric unit holds Pm at (0.000, 0.000, 0.223), Al at (0.500, 0.500, 0.000) and I at (0.500, 0.500, 0.500).

The value obtained for the relative energy among the computed polymorphs is 0.013 eV per atom. As for the crystal system: tetragonal.


Number 1: ρ 5.7 g cm⁻³, formation energy from raw total energies 0.0 eV per formula unit. Number 2: ρ 5.9 g cm⁻³, formation energy from raw total energies -2.2 eV per formula unit. Number 3: ρ 4.9 g cm⁻³, formation energy from raw total energies -1.6 eV per formula unit. Number 4: ρ 6.5 g cm⁻³, formation energy from raw total energies -2.3 eV per formula unit.